Fe3MoRh: single point on PBEsol structure, SCAN.

Cell and atoms, written as POSCAR:
```
Fe3MoRh
1.0
4.4289 0.0000 0.0000
0.0000 4.4289 0.0000
0.0000 0.0000 4.4289
Fe Mo Rh
3 1 1
Cartesian
0.0000 0.0000 2.2145
0.0000 2.2145 0.0000
2.2145 0.0000 0.0000
2.2145 2.2145 2.2145
0.0000 0.0000 0.0000
```

Summary:
DOS at the Fermi energy: 4.2 states/eV per cell
distance to the lowest polymorph of the same formula: 0 meV/atom
space-group type: No. 221
calculated total energy: -23.23 eV/atom
magnetic moment: 6.58 μB/f.u.
energy relative to the elements: 1382 meV/atom
crystal system: cubic